Entry 1:
Here is a relaxed Ca2AgHgN crystal from the Alexandria database. Energies are from PBE-GGA.

a b c (Å): 4.8959 4.8959 4.4480
angles (deg): 90.00 90.00 90.00
Last column: nearest neighbours and their distance in Å.
Positions (direct):
Ca1 0.0000 0.5000 0.0000  2 N 2.45
Ca2 0.5000 0.0000 0.0000  2 N 2.45
Hg1 0.5000 0.5000 0.5000  8 Ca 3.31, 4 Ag 3.46
Ag1 0.0000 0.0000 0.5000  2 N 2.22
N1 0.0000 0.0000 0.0000  2 Ag 2.22, 4 Ca 2.45

Summary:
Magnetization: 0.000 μB per formula unit
Calculated total energy: -0.257 Ry/atom
DOS at the Fermi energy: 3.641 states/eV/f.u.



Entry 2:
Here is a relaxed SmTh7 crystal from the Alexandria database. Energies are from PBE-GGA.

a b c (Å): 7.1443 7.1443 7.1443
angles (deg): 60.00 60.00 60.00
Last column: nearest neighbours and their distance in Å.
Positions (direct):
Sm1 0.0000 0.0000 0.0000  12 Th 3.57
Th1 0.5000 0.5000 0.0000  10 Th 3.57, 2 Sm 3.57
Th2 0.5000 0.0000 0.5000  10 Th 3.57, 2 Sm 3.57
Th3 0.0000 0.5000 0.5000  10 Th 3.57, 2 Sm 3.57
Th4 0.5000 0.0000 0.0000  10 Th 3.57, 2 Sm 3.57
Th5 0.0000 0.5000 0.0000  2 Sm 3.57, 10 Th 3.57
Th6 0.0000 0.0000 0.5000  10 Th 3.57, 2 Sm 3.57
Th7 0.5000 0.5000 0.5000  12 Th 3.57

Summary:
Magnetization: 0.000 μB per formula unit
Calculated total energy: -0.519 Ry/atom
DOS at the Fermi energy: 9.705 states/eV/f.u.
Formation enthalpy at 0 K: 0.022 eV/atom



Entry 3:
Here is a relaxed TlCrGe2 crystal from the Alexandria database. Energies are from PBE-GGA.

a b c (Å): 4.7446 4.7446 4.7446
angles (deg): 60.00 60.00 60.00
Last column: nearest neighbours and their distance in Å.
Positions (direct):
Cr1 0.0000 0.0000 0.0000  8 Ge 2.91
Tl1 0.5000 0.5000 0.5000  8 Ge 2.91
Ge1 0.2500 0.2500 0.2500  4 Tl 2.91, 4 Cr 2.91
Ge2 0.7500 0.7500 0.7500  4 Tl 2.91, 4 Cr 2.91

Summary:
Magnetization: 0.000 μB per formula unit
Calculated total energy: -0.325 Ry/atom
DOS at the Fermi energy: 8.978 states/eV/f.u.
Formation enthalpy at 0 K: 0.890 eV/atom



Entry 4:
Here is a relaxed Y2CI crystal from the Alexandria database. Energies are from PBE-GGA.

a b c (Å): 3.7770 3.7770 7.7528
angles (deg): 75.90 75.90 60.00
Last column: nearest neighbours and their distance in Å.
Positions (direct):
Y1 0.0562 0.0562 0.8315  3 C 2.50
Y2 0.2763 0.2763 0.1712  3 C 2.54
C1 0.6683 0.6683 0.9950  6 Y 2.50-2.54
I1 0.4993 0.4993 0.5022  6 Y 3.28-3.29

Summary:
Magnetization: 0.000 μB per formula unit
Calculated total energy: -0.490 Ry/atom
DOS at the Fermi energy: 2.301 states/eV/f.u.



Entry 5:
Here is a relaxed CdSbPb crystal from the Alexandria database. Energies are from PBE-GGA.

a b c (Å): 7.8766 7.8766 7.8766
angles (deg): 155.57 155.57 34.82
Last column: nearest neighbours and their distance in Å.
Positions (direct):
Pb1 0.3404 0.3404 0.0000  4 Pb 3.33, 4 Cd 3.38, 4 Sb 3.62
Sb1 0.6579 0.6579 0.0000  4 Cd 3.33, 4 Sb 3.33, 4 Pb 3.62
Cd1 0.0017 0.0017 0.0000  4 Sb 3.33, 4 Cd 3.33, 4 Pb 3.38

Summary:
Magnetization: 0.000 μB per formula unit
Calculated total energy: -0.206 Ry/atom
DOS at the Fermi energy: 1.475 states/eV/f.u.



Entry 6:
Here is a relaxed PH2Ru crystal from the Alexandria database. Energies are from PBE-GGA.

a b c (Å): 2.9047 3.4537 5.4739
angles (deg): 92.79 90.89 114.72
Last column: nearest neighbours and their distance in Å.
Positions (direct):
P1 0.1630 0.5786 0.4469  1 H 1.43
H1 0.4448 0.1213 0.8672  2 Ru 1.85
H2 0.1274 0.5221 0.1849  1 P 1.43
Ru1 0.8822 0.0065 0.6634  2 H 1.85

Summary:
Magnetization: 0.000 μB per formula unit
Calculated total energy: -0.392 Ry/atom
DOS at the Fermi energy: 0.893 states/eV/f.u.



Entry 7:
Here is a relaxed Zr2Ga6Au crystal from the Alexandria database. Energies are from PBE-GGA.

a b c (Å): 3.2656 7.2272 8.1178
angles (deg): 116.43 97.99 90.00
Last column: nearest neighbours and their distance in Å.
Positions (direct):
Zr1 0.4744 0.6928 0.3856  10 Ga 2.85-3.10
Zr2 0.5256 0.3072 0.6144  10 Ga 2.85-3.10
Ga1 0.9519 0.3431 0.3188  3 Ga 2.65-2.78, 1 Au 2.70, 3 Zr 2.85-2.94
Ga2 0.0481 0.0243 0.6812  3 Ga 2.65-2.78, 1 Au 2.70, 3 Zr 2.85-2.94
Ga3 0.0481 0.6569 0.6812  3 Ga 2.65-2.78, 1 Au 2.70, 3 Zr 2.85-2.94
Ga4 0.5000 0.3208 0.0000  3 Ga 2.59-2.73, 2 Au 2.84
Ga5 0.9519 0.9757 0.3188  3 Ga 2.65-2.78, 1 Au 2.70, 3 Zr 2.85-2.94
Ga6 0.5000 0.6792 0.0000  3 Ga 2.59-2.73, 2 Au 2.84
Au1 0.0000 0.0000 0.0000  8 Ga 2.70-2.84

Summary:
Magnetization: 0.000 μB per formula unit
Calculated total energy: -0.335 Ry/atom
DOS at the Fermi energy: 4.141 states/eV/f.u.
Formation enthalpy at 0 K: -0.270 eV/atom



Entry 8:
Here is a relaxed Er2ThCo crystal from the Alexandria database. Energies are from PBE-GGA.

a b c (Å): 6.2493 6.9091 9.5417
angles (deg): 90.00 90.00 90.00
Last column: nearest neighbours and their distance in Å.
Positions (direct):
Er1 0.1738 0.6703 0.0698  2 Co 2.83-2.86
Er2 0.3262 0.1703 0.4302  2 Co 2.83-2.86
Er3 0.8262 0.3297 0.5698  2 Co 2.83-2.86
Er4 0.6738 0.8297 0.9302  2 Co 2.83-2.86
Er5 0.8262 0.3297 0.9302  2 Co 2.83-2.86
Er6 0.6738 0.8297 0.5698  2 Co 2.83-2.86
Er7 0.1738 0.6703 0.4302  2 Co 2.83-2.86
Er8 0.3262 0.1703 0.0698  2 Co 2.83-2.86
Th1 0.6596 0.5522 0.2500  2 Co 2.51-2.66
Th2 0.8404 0.0522 0.2500  2 Co 2.51-2.66
Th3 0.3404 0.4478 0.7500  2 Co 2.51-2.66
Th4 0.1596 0.9478 0.7500  2 Co 2.51-2.66
Co1 0.0340 0.3702 0.2500  2 Th 2.51-2.66
Co2 0.4660 0.8702 0.2500  2 Th 2.51-2.66
Co3 0.9660 0.6298 0.7500  2 Th 2.51-2.66
Co4 0.5340 0.1298 0.7500  2 Th 2.51-2.66

Summary:
Magnetization: 0.000 μB per formula unit
Calculated total energy: -0.450 Ry/atom
DOS at the Fermi energy: 4.484 states/eV/f.u.
Formation enthalpy at 0 K: -0.216 eV/atom



Entry 9:
Here is a relaxed Be3Ir crystal from the Alexandria database. Energies are from PBE-GGA.

a b c (Å): 3.5633 2.6644 4.2989
angles (deg): 89.01 90.00 90.00
Last column: nearest neighbours and their distance in Å.
Positions (direct):
Be1 0.0000 0.7608 0.0113  4 Be 2.05-2.25
Be2 0.5000 0.7500 0.7500  4 Be 2.11
Be3 0.0000 0.7392 0.4887  4 Be 2.05-2.25
Ir1 0.5000 0.2500 0.2500  12 Be 2.44-2.55, 2 Ir 2.66

Summary:
Magnetization: 0.000 μB per formula unit
Calculated total energy: -0.384 Ry/atom
DOS at the Fermi energy: 1.228 states/eV/f.u.
Formation enthalpy at 0 K: -0.217 eV/atom



Entry 10:
Here is a relaxed CdCo2Pb crystal from the Alexandria database. Energies are from PBE-GGA.

a b c (Å): 4.0944 3.4436 5.3056
angles (deg): 71.18 90.00 90.00
Last column: nearest neighbours and their distance in Å.
Positions (direct):
Cd1 0.5000 0.7788 0.8168  7 Co 2.71-2.93
Co1 0.0000 0.1848 0.0054  2 Co 2.35
Co2 0.5000 0.0709 0.2342  2 Co 2.35
Pb1 0.0000 0.4656 0.4436  7 Co 2.79-2.88

Summary:
Magnetization: 2.681 μB per formula unit
Calculated total energy: -0.317 Ry/atom
DOS at the Fermi energy: 4.548 states/eV/f.u.
Formation enthalpy at 0 K: 0.394 eV/atom



Entry 11:
Here is a relaxed YTlTc3 crystal from the Alexandria database. Energies are from PBE-GGA.

a b c (Å): 4.9414 4.9414 4.9414
angles (deg): 90.00 90.00 90.00
Last column: nearest neighbours and their distance in Å.
Positions (direct):
Y1 0.0000 0.0000 0.0000  6 Tc 2.47
Tl1 0.5000 0.5000 0.5000  12 Tc 3.49
Tc1 0.0000 0.5000 0.0000  2 Y 2.47
Tc2 0.0000 0.0000 0.5000  2 Y 2.47
Tc3 0.5000 0.0000 0.0000  2 Y 2.47

Summary:
Magnetization: 5.334 μB per formula unit
Calculated total energy: -0.427 Ry/atom
DOS at the Fermi energy: 5.942 states/eV/f.u.
Formation enthalpy at 0 K: 2.172 eV/atom



Entry 12:
Here is a relaxed PuSi2Pd4 crystal from the Alexandria database. Energies are from PBE-GGA.

a b c (Å): 3.7906 7.8535 7.8535
angles (deg): 90.00 90.00 90.00
Last column: nearest neighbours and their distance in Å.
Positions (direct):
Pu1 0.5000 0.0000 0.0000  6 Si 3.09-3.11, 8 Pd 3.25
Pu2 0.0000 0.5000 0.5000  6 Si 3.09-3.11, 8 Pd 3.25
Si1 0.0000 0.2219 0.7781  6 Pd 2.48-2.52
Si2 0.0000 0.7781 0.2219  6 Pd 2.48-2.52
Si3 0.5000 0.7219 0.7219  6 Pd 2.48-2.52
Si4 0.5000 0.2781 0.2781  6 Pd 2.48-2.52
Pd1 0.0000 0.0809 0.3270  3 Si 2.48-2.52, 1 Pd 2.73
Pd2 0.0000 0.9191 0.6730  3 Si 2.48-2.52, 1 Pd 2.73
Pd3 0.5000 0.1730 0.5809  3 Si 2.48-2.52, 1 Pd 2.73
Pd4 0.5000 0.8270 0.4191  3 Si 2.48-2.52, 1 Pd 2.73
Pd5 0.5000 0.4191 0.8270  3 Si 2.48-2.52, 1 Pd 2.73
Pd6 0.5000 0.5809 0.1730  3 Si 2.48-2.52, 1 Pd 2.73
Pd7 0.0000 0.3270 0.0809  3 Si 2.48-2.52, 1 Pd 2.73
Pd8 0.0000 0.6730 0.9191  3 Si 2.48-2.52, 1 Pd 2.73

Summary:
Magnetization: 5.394 μB per formula unit
Calculated total energy: -0.532 Ry/atom
DOS at the Fermi energy: 14.313 states/eV/f.u.



Entry 13:
Here is a relaxed Be2InSe crystal from the Alexandria database. Energies are from PBE-GGA.

a b c (Å): 3.2099 3.2099 6.9918
angles (deg): 90.00 90.00 90.00
Last column: nearest neighbours and their distance in Å.
Positions (direct):
Be1 0.0000 0.0000 0.8338  4 Se 2.39, 1 In 2.49
Be2 0.5000 0.5000 0.2492  1 Se 2.17
Se1 0.5000 0.5000 0.9395  5 Be 2.17-2.39
In1 0.0000 0.0000 0.4775  5 Be 2.49-2.77

Summary:
Magnetization: 0.000 μB per formula unit
Calculated total energy: -0.238 Ry/atom
DOS at the Fermi energy: 1.697 states/eV/f.u.



Entry 14:
Here is a relaxed Sr2LiReAu crystal from the Alexandria database. Energies are from PBE-GGA.

a b c (Å): 5.9690 5.0966 5.9690
angles (deg): 90.00 90.00 90.00
Last column: nearest neighbours and their distance in Å.
Positions (direct):
Re1 0.0000 0.5000 0.0000  2 Au 2.55
Li1 0.5000 0.5000 0.5000  8 Sr 3.92, 4 Re 4.22
Au1 0.0000 0.0000 0.0000  2 Re 2.55
Sr1 0.0000 0.0000 0.5000  2 Au 2.98
Sr2 0.5000 0.0000 0.0000  2 Au 2.98

Summary:
Magnetization: 2.519 μB per formula unit
Calculated total energy: -0.259 Ry/atom
DOS at the Fermi energy: 3.986 states/eV/f.u.
Formation enthalpy at 0 K: 0.672 eV/atom



Entry 15:
Here is a relaxed Ca6DyS8 crystal from the Alexandria database. Energies are from PBE-GGA.

a b c (Å): 8.0683 8.0683 8.0683
angles (deg): 60.00 60.00 60.00
Last column: nearest neighbours and their distance in Å.
Positions (direct):
Ca1 0.0000 0.5000 0.5000  6 S 2.85-2.86
Ca2 0.5000 0.0000 0.0000  6 S 2.85-2.86
Ca3 0.5000 0.5000 0.0000  6 S 2.85-2.86
Ca4 0.0000 0.0000 0.5000  6 S 2.85-2.86
Ca5 0.0000 0.5000 0.0000  6 S 2.85-2.86
Ca6 0.5000 0.0000 0.5000  6 S 2.85-2.86
Dy1 0.0000 0.0000 0.0000  6 S 2.73
S1 0.7500 0.7500 0.7500  6 Ca 2.85
S2 0.2500 0.2500 0.2500  6 Ca 2.85
S3 0.7606 0.2394 0.2394  1 Dy 2.73, 4 Ca 2.86
S4 0.2394 0.7606 0.7606  1 Dy 2.73, 4 Ca 2.86
S5 0.2394 0.2394 0.7606  1 Dy 2.73, 4 Ca 2.86
S6 0.7606 0.7606 0.2394  1 Dy 2.73, 4 Ca 2.86
S7 0.7606 0.2394 0.7606  1 Dy 2.73, 4 Ca 2.86
S8 0.2394 0.7606 0.2394  1 Dy 2.73, 4 Ca 2.86

Summary:
Magnetization: 0.000 μB per formula unit
Calculated total energy: -0.389 Ry/atom
DOS at the Fermi energy: 8.694 states/eV/f.u.



Entry 16:
Here is a relaxed GaOs3S crystal from the Alexandria database. Energies are from PBE-GGA.

a b c (Å): 4.3470 4.3470 4.3470
angles (deg): 90.00 90.00 90.00
Last column: nearest neighbours and their distance in Å.
Positions (direct):
S1 0.0000 0.0000 0.0000  6 Os 2.17
Os1 0.0000 0.5000 0.0000  2 S 2.17
Os2 0.0000 0.0000 0.5000  2 S 2.17
Os3 0.5000 0.0000 0.0000  2 S 2.17
Ga1 0.5000 0.5000 0.5000  12 Os 3.07

Summary:
Magnetization: 0.000 μB per formula unit
Calculated total energy: -0.516 Ry/atom
DOS at the Fermi energy: 4.706 states/eV/f.u.